# 1
Compound: ErTe2Au
Source: Alexandria via LeMat-Bulk
Functional: GGA-PBE
Structure: relaxed

Cell and atoms, written as POSCAR:
```
ErTe2Au
1.0
-3.876 0.977 1.455
-1.461 -1.828 3.552
1.033 5.056 5.574
Te Er Au
2 1 1
Cartesian
-1.111 0.985 2.598
0.364 3.786 4.645
-2.176 2.058 5.258
-3.534 -0.523 3.371
```

- ΔE_f (raw) (eV per atom) = -0.645

# 2
Compound: Er3Te2Au
Source: Alexandria via LeMat-Bulk
Functional: GGA-PBE
Structure: relaxed

Cell and atoms, written as POSCAR:
```
Er3Te2Au
1.0
7.341 0.074 -1.370
-2.771 6.799 -1.370
-0.062 -0.094 13.460
Te Au Er
8 4 12
Cartesian
2.639 3.969 0.555
5.875 3.352 11.303
3.689 0.065 -0.584
4.428 1.176 3.435
1.130 1.699 6.147
5.136 2.241 7.285
1.869 2.810 10.165
3.378 5.080 4.573
0.371 0.558 2.019
0.097 5.629 7.379
4.137 6.221 8.701
-0.645 4.513 3.341
-1.307 3.518 5.979
0.758 6.623 4.741
2.583 4.141 7.452
1.689 2.795 3.268
-0.758 4.599 9.930
3.538 5.321 -2.122
1.032 1.553 -0.619
5.379 2.350 0.722
4.421 0.910 9.998
4.323 6.245 1.829
-0.027 5.699 0.790
0.421 0.377 8.890
```

- ΔE_f (raw) (eV per atom) = -1.112

# 3
Compound: ErTe2Au
Source: Alexandria via LeMat-Bulk
Functional: GGA-PBE
Structure: relaxed

Cell and atoms, written as POSCAR:
```
ErTe2Au
1.0
7.413 0.000 0.000
0.000 7.825 -4.601
0.000 -0.116 9.188
Au Er Te
4 4 8
Cartesian
1.181 4.247 3.097
2.526 0.335 5.398
4.887 7.374 -0.810
6.233 3.462 1.490
7.140 1.703 3.942
3.434 2.093 2.945
3.980 5.616 1.642
0.273 6.006 0.645
2.024 3.443 0.556
5.731 0.353 6.332
1.682 7.356 -1.744
5.389 4.266 4.031
1.784 7.026 3.213
5.630 0.683 1.374
5.490 4.596 -0.926
1.923 3.113 5.514
```

- ΔE_f (raw) (eV per atom) = -0.850

# 4
Compound: Er2Tl3Te6Au
Source: Alexandria via LeMat-Bulk
Functional: GGA-PBE
Structure: relaxed

Cell and atoms, written as POSCAR:
```
Er2Tl3Te6Au
1.0
-2.615 -3.352 6.230
7.383 1.497 -0.359
-3.208 7.958 0.988
Te Er Tl Au
6 2 3 1
Cartesian
2.684 5.739 4.345
-0.435 4.226 6.400
-1.147 5.516 2.319
1.995 1.877 0.458
-1.124 0.364 2.514
2.707 0.587 4.539
0.798 -1.696 3.980
3.970 -0.158 1.890
4.013 4.620 1.299
0.780 3.052 3.429
-2.453 1.484 5.560
0.000 0.000 0.000
```

- ΔE_f (raw) (eV per atom) = -0.663

# 5
Compound: ErThAu
Source: Alexandria via LeMat-Bulk
Functional: GGA-PBE
Structure: relaxed

Cell and atoms, written as POSCAR:
```
ErThAu
1.0
-0.482 -2.389 -3.050
4.775 -1.286 0.252
-3.391 -2.561 2.541
Th Au Er
1 1 1
Cartesian
-0.010 -0.048 -0.061
-0.887 -3.213 0.403
1.797 -2.975 -0.599
```

- energy above the most stable polymorph in this dataset (meV per atom) = 204.6
- formation energy (meV/atom) = -249

# 6
Compound: ErThAu
Source: Alexandria via LeMat-Bulk
Functional: GGA-PBE
Structure: relaxed

Cell and atoms, written as POSCAR:
```
ErThAu
1.0
-2.706 -2.435 -3.472
1.070 -4.786 -1.123
-3.147 -3.673 1.384
Au Th Er
1 1 1
Cartesian
-1.196 -2.723 -0.803
-2.392 -5.447 -1.606
0.000 0.000 0.000
```

- energy above the most stable polymorph in this dataset (meV per atom) = 212.2
- formation energy (meV/atom) = -241

| no. | calculated density (Mg/m³) |
| --- | --- |
| 1 | 9.13 |
| 2 | 9.42 |
| 3 | 7.78 |
| 4 | 7.83 |
| 5 | 11.94 |
| 6 | 11.00 |